The following is a PBE calculation of a geometry-optimized CeCdI2 structure, from the Alexandria database.

Properties
The value obtained for the uncorrected formation energy is -770.3 meV/atom. The symmetry is R-3m, No. 166. The value obtained for the magnetization is 1.91 μB/cell.

Cell and atoms, written as extended XYZ:
```
4
Lattice="2.0811 1.2015 12.2416 -2.0811 1.2015 12.2416 0.0000 -2.4030 12.2416" Properties=species:S:1:pos:R:3 pbc="T T T"
Ce 0.0000 0.0000 0.0000
Cd 0.0000 0.0000 18.3624
I 0.0000 0.0000 14.3657
I 0.0000 0.0000 22.3590
```